--- w ---
# NiRu2Br | Alexandria | SCAN | PBEsol geometry
data_NiRu2Br
_cell_length_a 2.785
_cell_length_b 4.474
_cell_length_c 4.507
_cell_angle_alpha 90.00
_cell_angle_beta 90.00
_cell_angle_gamma 90.00
_symmetry_space_group_name_H-M 'P m m m'
_symmetry_Int_Tables_number 47
_symmetry_space_group_name_Hall '-P 2 2'
loop_
_atom_site_label
_atom_site_fract_x
_atom_site_fract_y
_atom_site_fract_z
Ni1 0.000 0.000 0.000
Ru1 0.000 0.500 0.500
Ru2 0.500 0.500 0.000
Br1 0.500 0.000 0.500
# **Density**: 10.08 g cm⁻³

--- x ---
# NiRu2Br | Alexandria | SCAN | PBEsol geometry
data_NiRu2Br
_cell_length_a 4.294
_cell_length_b 4.294
_cell_length_c 2.932
_cell_angle_alpha 90.00
_cell_angle_beta 90.00
_cell_angle_gamma 90.00
_symmetry_space_group_name_H-M 'P 4/m m m'
_symmetry_Int_Tables_number 123
_symmetry_space_group_name_Hall '-P 4 2'
loop_
_atom_site_label
_atom_site_fract_x
_atom_site_fract_y
_atom_site_fract_z
Ni1 0.000 0.000 0.000
Ru1 0.000 0.500 0.500
Br1 0.500 0.500 0.000
# **Density**: 10.47 g cm⁻³

Which structure loses on stability? w does.